This record from Alexandria via LeMat-Bulk describes a geometry-optimized Pu2NiBi structure. The functional is PBE.

Values from the calculation:
- Polymorph energy (0 for the lowest one): 0.1376 eV/atom
- Energy of formation: -2 kJ/mol of atoms
- Symmetry: No. 166

Cell and atoms, written as extended XYZ:
```
4
Lattice="4.893 0.000 0.000 2.447 4.238 0.000 2.447 1.413 4.846" Properties=species:S:1:pos:R:3 pbc="T T T"
Ni 0.000 0.000 0.000
Bi 4.893 2.825 2.423
Pu 2.447 1.413 0.887
Pu 7.340 4.238 3.959
```